(1)
First-principles (SCAN) data for BeTeRh2 at its PBEsol-relaxed geometry, as listed in Alexandria via LeMat-Bulk.

```
BeTeRh2
1.0
-0.8684 1.7135 2.9042
3.1121 -1.7096 1.9393
2.3803 3.0793 -1.1051
Te Be Rh
1 1 2
Cartesian
2.3120 1.5416 1.8692
-0.4342 0.8568 1.4521
1.5560 -0.8548 0.9696
1.1901 1.5396 -0.5526
```

Results
Its density of states at the Fermi level is 0.485 states/eV per atom. The value obtained for the uncorrected energy is -109.8 eV/cell. For the offset from the most stable computed form, the calculation gives 0 meV per atom.

(2)
First-principles (SCAN) data for Be3TeRh at its PBEsol-relaxed geometry, as listed in Alexandria via LeMat-Bulk.

```
Be3TeRh
1.0
4.2472 0.0000 0.0000
0.0000 4.2472 0.0000
0.0000 0.0000 4.2472
Te Be Rh
1 3 1
Cartesian
2.1236 2.1236 2.1236
0.0000 2.1236 0.0000
2.1236 0.0000 0.0000
0.0000 0.0000 2.1236
0.0000 0.0000 0.0000
```

Results
Its density of states at the Fermi level is 0.327 states/eV per atom. The value obtained for the uncorrected energy is -82.5 eV/cell.

(3)
First-principles (SCAN) data for BeTe2Rh at its PBEsol-relaxed geometry, as listed in Alexandria via LeMat-Bulk.

```
BeTe2Rh
1.0
-1.4346 4.7684 -2.7929
-4.7573 -2.5338 -1.8824
0.2921 0.7317 6.9347
Rh Te Be
2 4 2
Cartesian
0.0000 0.0000 0.0000
-3.7806 -0.3424 1.3573
-4.6543 -0.1573 -1.0127
-2.9395 3.3163 -1.3640
-0.6434 0.7810 4.5816
-3.5623 1.9925 2.3140
-2.1192 3.3087 0.9021
-3.0959 1.1173 -2.3377
```

Results
Its density of states at the Fermi level is 0.529 states/eV per atom. The value obtained for the uncorrected energy is -226.6 eV/cell.

(4)
First-principles (SCAN) data for Ti2Be2Rh at its PBEsol-relaxed geometry, as listed in Alexandria via LeMat-Bulk.

```
Ti2Be2Rh
1.0
3.1860 0.0000 0.0000
0.0000 6.1730 0.0000
0.0000 0.0000 6.1730
Be Ti Rh
4 4 2
Cartesian
0.0000 3.8414 0.7550
0.0000 5.4180 3.8414
0.0000 2.3315 5.4180
0.0000 0.7550 2.3315
1.5930 5.0958 2.0093
1.5930 1.0772 4.1637
1.5930 4.1637 5.0958
1.5930 2.0093 1.0772
0.0000 0.0000 0.0000
0.0000 3.0865 3.0865
```

Results
Its density of states at the Fermi level is 0.558 states/eV per atom. The formation energy from the elements comes out at -0.515 eV per atom. The value obtained for the uncorrected energy is -154.2 eV/cell.

(5)
First-principles (SCAN) data for TiBe2Rh2 at its PBEsol-relaxed geometry, as listed in Alexandria via LeMat-Bulk.

```
TiBe2Rh2
1.0
2.7690 0.0000 0.0000
0.0000 6.4434 0.0000
0.0000 0.0000 6.4434
Ti Be Rh
2 4 4
Cartesian
0.0000 3.2217 3.2217
0.0000 0.0000 0.0000
0.0000 0.7648 2.4569
0.0000 3.9865 0.7648
0.0000 5.6786 3.9865
0.0000 2.4569 5.6786
1.3845 1.1209 4.3426
1.3845 5.3224 2.1008
1.3845 4.3426 5.3224
1.3845 2.1008 1.1209
```

Results
Its density of states at the Fermi level is 0.539 states/eV per atom. The formation energy from the elements comes out at -0.791 eV per atom. The value obtained for the uncorrected energy is -192.5 eV/cell.

(6)
First-principles (SCAN) data for BeTl2Rh at its PBEsol-relaxed geometry, as listed in Alexandria via LeMat-Bulk.

```
BeTl2Rh
1.0
-3.1387 3.4181 -0.4740
-4.4214 -1.0262 -1.0759
-3.3616 0.5384 3.1889
Tl Rh Be
2 1 1
Cartesian
0.0000 0.0000 0.0000
-8.1912 2.1977 1.2293
-2.7304 0.7326 0.4098
-5.4608 1.4652 0.8195
```

Results
Its density of states at the Fermi level is 0.320 states/eV per atom. The formation energy from the elements comes out at 0.603 eV per atom. The value obtained for the uncorrected energy is -180.4 eV/cell. For the offset from the most stable computed form, the calculation gives 442 meV per atom.

What is the uncorrected energy in the first record?
-109.8 eV/cell